Computed, not measured: a relaxed structure of CsVB2F8 at the PBE+U level of DFT.

a = 5.3922 Å, b = 5.3922 Å, c = 23.7765 Å
α = 90.00°, β = 90.00°, γ = 120.00°
Space group R-3 (No. 148, hexagonal axes)
Symmetry-distinct sites (fractional):
1 Cs 0.0000 0.0000 0.0000 (multiplicity 3)
2 V 0.0000 0.0000 0.5000 (multiplicity 3)
3 B 0.0000 0.0000 0.2418 (multiplicity 6)
4 F 0.0000 0.0000 0.3014 (multiplicity 6)
5 F 0.0256 0.2618 0.2224 (multiplicity 18)

Summary:
DOS(E_F)	0.499	states/eV per atom
total energy	-5.62	eV per atom